# 1
# PBE Ba2AsSe2, relaxed
# Uncorrected formation energy (meV per atom): -1217.3
# Excess energy over the best structure of this formula in the dataset (meV/atom): 0
data_Ba2AsSe2
_chemical_formula_sum 'Ba4 As2 Se4'
_space_group_name_H-M_alt 'P 1'
_space_group_IT_number 1
_cell_length_a 8.353
_cell_length_b 8.353
_cell_length_c 4.513
_cell_angle_alpha 90.00
_cell_angle_beta 90.00
_cell_angle_gamma 90.00
loop_
_space_group_symop_operation_xyz
'x,y,z'
loop_
_atom_site_label
_atom_site_type_symbol
_atom_site_fract_x
_atom_site_fract_y
_atom_site_fract_z
Ba1 Ba 0.159 0.341 0.000
Ba2 Ba 0.341 0.841 0.000
Ba3 Ba 0.659 0.159 0.000
Ba4 Ba 0.841 0.659 0.000
As1 As 0.000 0.000 0.500
As2 As 0.500 0.500 0.500
Se1 Se 0.157 0.657 0.500
Se2 Se 0.343 0.157 0.500
Se3 Se 0.657 0.843 0.500
Se4 Se 0.843 0.343 0.500



# 2
# PBE BaAs2Se, relaxed
# Uncorrected formation energy (meV per atom): -266.1
data_BaAs2Se
_chemical_formula_sum 'Ba1 As2 Se1'
_space_group_name_H-M_alt 'P 1'
_space_group_IT_number 1
_cell_length_a 4.156
_cell_length_b 4.156
_cell_length_c 6.258
_cell_angle_alpha 90.00
_cell_angle_beta 90.00
_cell_angle_gamma 90.00
loop_
_space_group_symop_operation_xyz
'x,y,z'
loop_
_atom_site_label
_atom_site_type_symbol
_atom_site_fract_x
_atom_site_fract_y
_atom_site_fract_z
Ba1 Ba 0.000 0.000 0.000
As1 As 0.500 0.500 0.308
As2 As 0.500 0.500 0.692
Se1 Se 0.000 0.000 0.500



# 3
# PBE Ba2AsSe2, relaxed
# Uncorrected formation energy (meV per atom): -1165.9
# Excess energy over the best structure of this formula in the dataset (meV/atom): 51
data_Ba2AsSe2
_chemical_formula_sum 'Ba4 As2 Se4'
_space_group_name_H-M_alt 'P 1'
_space_group_IT_number 1
_cell_length_a 6.327
_cell_length_b 6.327
_cell_length_c 8.448
_cell_angle_alpha 90.00
_cell_angle_beta 90.00
_cell_angle_gamma 90.00
loop_
_space_group_symop_operation_xyz
'x,y,z'
loop_
_atom_site_label
_atom_site_type_symbol
_atom_site_fract_x
_atom_site_fract_y
_atom_site_fract_z
Ba1 Ba 0.000 0.500 0.250
Ba2 Ba 0.000 0.500 0.750
Ba3 Ba 0.500 0.000 0.250
Ba4 Ba 0.500 0.000 0.750
As1 As 0.000 0.000 0.000
As2 As 0.500 0.500 0.500
Se1 Se 0.000 0.000 0.329
Se2 Se 0.000 0.000 0.671
Se3 Se 0.500 0.500 0.171
Se4 Se 0.500 0.500 0.829



# 4
# PBE BaAsSe3, relaxed
# Uncorrected formation energy (meV per atom): 768.5
data_BaAsSe3
_chemical_formula_sum 'Ba1 As1 Se3'
_space_group_name_H-M_alt 'P 1'
_space_group_IT_number 1
_cell_length_a 6.093
_cell_length_b 6.093
_cell_length_c 6.093
_cell_angle_alpha 90.00
_cell_angle_beta 90.00
_cell_angle_gamma 90.00
loop_
_space_group_symop_operation_xyz
'x,y,z'
loop_
_atom_site_label
_atom_site_type_symbol
_atom_site_fract_x
_atom_site_fract_y
_atom_site_fract_z
Ba1 Ba 0.000 0.000 0.000
As1 As 0.500 0.500 0.500
Se1 Se 0.000 0.000 0.500
Se2 Se 0.000 0.500 0.000
Se3 Se 0.500 0.000 0.000



# 5
# PBE Ba3As5Se12, relaxed
# Uncorrected formation energy (meV per atom): -606.5
data_Ba3As5Se12
_chemical_formula_sum 'Ba12 As20 Se48'
_space_group_name_H-M_alt 'P 1'
_space_group_IT_number 1
_cell_length_a 14.674
_cell_length_b 14.674
_cell_length_c 14.674
_cell_angle_alpha 109.47
_cell_angle_beta 109.47
_cell_angle_gamma 109.47
loop_
_space_group_symop_operation_xyz
'x,y,z'
loop_
_atom_site_label
_atom_site_type_symbol
_atom_site_fract_x
_atom_site_fract_y
_atom_site_fract_z
Ba1 Ba 0.125 0.250 0.375
Ba2 Ba 0.125 0.375 0.750
Ba3 Ba 0.250 0.375 0.125
Ba4 Ba 0.250 0.875 0.625
Ba5 Ba 0.375 0.125 0.250
Ba6 Ba 0.375 0.750 0.125
Ba7 Ba 0.625 0.250 0.875
Ba8 Ba 0.625 0.875 0.750
Ba9 Ba 0.750 0.125 0.375
Ba10 Ba 0.750 0.625 0.875
Ba11 Ba 0.875 0.625 0.250
Ba12 Ba 0.875 0.750 0.625
As1 As 0.000 0.000 0.000
As2 As 0.000 0.000 0.500
As3 As 0.000 0.500 0.000
As4 As 0.000 0.500 0.500
As5 As 0.125 0.750 0.875
As6 As 0.125 0.875 0.250
As7 As 0.250 0.125 0.875
As8 As 0.250 0.625 0.375
As9 As 0.375 0.250 0.625
As10 As 0.375 0.625 0.750
As11 As 0.500 0.000 0.000
As12 As 0.500 0.000 0.500
As13 As 0.500 0.500 0.000
As14 As 0.500 0.500 0.500
As15 As 0.625 0.375 0.250
As16 As 0.625 0.750 0.375
As17 As 0.750 0.375 0.625
As18 As 0.750 0.875 0.125
As19 As 0.875 0.125 0.750
As20 As 0.875 0.250 0.125
Se1 Se 0.018 0.198 0.114
Se2 Se 0.018 0.320 0.904
Se3 Se 0.084 0.698 0.680
Se4 Se 0.084 0.886 0.404
Se5 Se 0.096 0.614 0.416
Se6 Se 0.096 0.982 0.680
Se7 Se 0.114 0.018 0.198
Se8 Se 0.114 0.596 0.916
Se9 Se 0.180 0.198 0.584
Se10 Se 0.180 0.482 0.596
Se11 Se 0.198 0.114 0.018
Se12 Se 0.198 0.584 0.180
Se13 Se 0.302 0.320 0.916
Se14 Se 0.302 0.482 0.386
Se15 Se 0.320 0.904 0.018
Se16 Se 0.320 0.916 0.302
Se17 Se 0.386 0.302 0.482
Se18 Se 0.386 0.584 0.904
Se19 Se 0.404 0.084 0.886
Se20 Se 0.404 0.820 0.518
Se21 Se 0.416 0.096 0.614
Se22 Se 0.416 0.820 0.802
Se23 Se 0.482 0.386 0.302
Se24 Se 0.482 0.596 0.180
Se25 Se 0.518 0.404 0.820
Se26 Se 0.518 0.614 0.698
Se27 Se 0.584 0.180 0.198
Se28 Se 0.584 0.904 0.386
Se29 Se 0.596 0.180 0.482
Se30 Se 0.596 0.916 0.114
Se31 Se 0.614 0.416 0.096
Se32 Se 0.614 0.698 0.518
Se33 Se 0.680 0.084 0.698
Se34 Se 0.680 0.096 0.982
Se35 Se 0.698 0.518 0.614
Se36 Se 0.698 0.680 0.084
Se37 Se 0.802 0.416 0.820
Se38 Se 0.802 0.886 0.982
Se39 Se 0.820 0.518 0.404
Se40 Se 0.820 0.802 0.416
Se41 Se 0.886 0.404 0.084
Se42 Se 0.886 0.982 0.802
Se43 Se 0.904 0.018 0.320
Se44 Se 0.904 0.386 0.584
Se45 Se 0.916 0.114 0.596
Se46 Se 0.916 0.302 0.320
Se47 Se 0.982 0.680 0.096
Se48 Se 0.982 0.802 0.886



# 6
# PBE BaAsSe, relaxed
# Uncorrected formation energy (meV per atom): -1086.5
# Excess energy over the best structure of this formula in the dataset (meV/atom): 0
data_BaAsSe
_chemical_formula_sum 'Ba4 As4 Se4'
_space_group_name_H-M_alt 'P 1'
_space_group_IT_number 1
_cell_length_a 10.754
_cell_length_b 4.592
_cell_length_c 9.421
_cell_angle_alpha 90.00
_cell_angle_beta 115.08
_cell_angle_gamma 90.00
loop_
_space_group_symop_operation_xyz
'x,y,z'
loop_
_atom_site_label
_atom_site_type_symbol
_atom_site_fract_x
_atom_site_fract_y
_atom_site_fract_z
Ba1 Ba 0.182 0.247 0.459
Ba2 Ba 0.182 0.253 0.959
Ba3 Ba 0.818 0.747 0.041
Ba4 Ba 0.818 0.753 0.541
As1 As 0.462 0.680 0.911
As2 As 0.462 0.820 0.411
As3 As 0.538 0.180 0.589
As4 As 0.538 0.320 0.089
Se1 Se 0.158 0.748 0.198
Se2 Se 0.158 0.752 0.698
Se3 Se 0.842 0.248 0.302
Se4 Se 0.842 0.252 0.802



# 7
# PBE BaAs2Se, relaxed
# Uncorrected formation energy (meV per atom): -257.4
data_BaAs2Se
_chemical_formula_sum 'Ba4 As8 Se4'
_space_group_name_H-M_alt 'P 1'
_space_group_IT_number 1
_cell_length_a 8.194
_cell_length_b 8.194
_cell_length_c 7.134
_cell_angle_alpha 90.00
_cell_angle_beta 90.00
_cell_angle_gamma 90.00
loop_
_space_group_symop_operation_xyz
'x,y,z'
loop_
_atom_site_label
_atom_site_type_symbol
_atom_site_fract_x
_atom_site_fract_y
_atom_site_fract_z
Ba1 Ba 0.000 0.000 0.000
Ba2 Ba 0.000 0.500 0.250
Ba3 Ba 0.500 0.000 0.750
Ba4 Ba 0.500 0.500 0.500
As1 As 0.167 0.250 0.625
As2 As 0.250 0.667 0.875
As3 As 0.250 0.833 0.375
As4 As 0.333 0.250 0.125
As5 As 0.667 0.750 0.125
As6 As 0.750 0.167 0.375
As7 As 0.750 0.333 0.875
As8 As 0.833 0.750 0.625
Se1 Se 0.000 0.000 0.500
Se2 Se 0.000 0.500 0.750
Se3 Se 0.500 0.000 0.250
Se4 Se 0.500 0.500 0.000



# 8
# PBE BaAs2Se, relaxed
# Uncorrected formation energy (meV per atom): -559.5
data_BaAs2Se
_chemical_formula_sum 'Ba1 As2 Se1'
_space_group_name_H-M_alt 'P 1'
_space_group_IT_number 1
_cell_length_a 4.265
_cell_length_b 4.265
_cell_length_c 6.922
_cell_angle_alpha 90.00
_cell_angle_beta 90.00
_cell_angle_gamma 90.00
loop_
_space_group_symop_operation_xyz
'x,y,z'
loop_
_atom_site_label
_atom_site_type_symbol
_atom_site_fract_x
_atom_site_fract_y
_atom_site_fract_z
Ba1 Ba 0.000 0.000 0.000
As1 As 0.000 0.000 0.515
As2 As 0.500 0.500 0.475
Se1 Se 0.500 0.500 0.120



# 9
# PBE BaAsSe3, relaxed
# Uncorrected formation energy (meV per atom): -739.6
data_BaAsSe3
_chemical_formula_sum 'Ba1 As1 Se3'
_space_group_name_H-M_alt 'P 1'
_space_group_IT_number 1
_cell_length_a 5.196
_cell_length_b 5.196
_cell_length_c 5.196
_cell_angle_alpha 90.00
_cell_angle_beta 90.00
_cell_angle_gamma 90.00
loop_
_space_group_symop_operation_xyz
'x,y,z'
loop_
_atom_site_label
_atom_site_type_symbol
_atom_site_fract_x
_atom_site_fract_y
_atom_site_fract_z
Ba1 Ba 0.000 0.000 0.000
As1 As 0.500 0.500 0.500
Se1 Se 0.000 0.500 0.500
Se2 Se 0.500 0.000 0.500
Se3 Se 0.500 0.500 0.000



# 10
# PBE BaAsSe, relaxed
# Uncorrected formation energy (meV per atom): -852.1
# Excess energy over the best structure of this formula in the dataset (meV/atom): 234
data_BaAsSe
_chemical_formula_sum 'Ba1 As1 Se1'
_space_group_name_H-M_alt 'P 1'
_space_group_IT_number 1
_cell_length_a 4.797
_cell_length_b 4.797
_cell_length_c 4.432
_cell_angle_alpha 90.00
_cell_angle_beta 90.00
_cell_angle_gamma 120.00
loop_
_space_group_symop_operation_xyz
'x,y,z'
loop_
_atom_site_label
_atom_site_type_symbol
_atom_site_fract_x
_atom_site_fract_y
_atom_site_fract_z
Ba1 Ba 0.000 0.000 0.000
As1 As 0.333 0.667 0.500
Se1 Se 0.667 0.333 0.500



# 11
# PBE BaAs2Se, relaxed
# Uncorrected formation energy (meV per atom): -416.2
data_BaAs2Se
_chemical_formula_sum 'Ba3 As6 Se3'
_space_group_name_H-M_alt 'P 1'
_space_group_IT_number 1
_cell_length_a 4.908
_cell_length_b 4.908
_cell_length_c 16.429
_cell_angle_alpha 90.00
_cell_angle_beta 90.00
_cell_angle_gamma 120.00
loop_
_space_group_symop_operation_xyz
'x,y,z'
loop_
_atom_site_label
_atom_site_type_symbol
_atom_site_fract_x
_atom_site_fract_y
_atom_site_fract_z
Ba1 Ba 0.000 0.000 0.000
Ba2 Ba 0.333 0.667 0.667
Ba3 Ba 0.667 0.333 0.333
As1 As 0.000 0.000 0.196
As2 As 0.000 0.000 0.804
As3 As 0.333 0.667 0.471
As4 As 0.333 0.667 0.862
As5 As 0.667 0.333 0.138
As6 As 0.667 0.333 0.529
Se1 Se 0.000 0.000 0.500
Se2 Se 0.333 0.667 0.167
Se3 Se 0.667 0.333 0.833



# 12
# PBE BaAs2Se, relaxed
# Uncorrected formation energy (meV per atom): -572.6
data_BaAs2Se
_chemical_formula_sum 'Ba2 As4 Se2'
_space_group_name_H-M_alt 'P 1'
_space_group_IT_number 1
_cell_length_a 10.724
_cell_length_b 3.954
_cell_length_c 5.792
_cell_angle_alpha 90.00
_cell_angle_beta 116.71
_cell_angle_gamma 90.00
loop_
_space_group_symop_operation_xyz
'x,y,z'
loop_
_atom_site_label
_atom_site_type_symbol
_atom_site_fract_x
_atom_site_fract_y
_atom_site_fract_z
Ba1 Ba 0.000 0.000 0.000
Ba2 Ba 0.500 0.500 0.000
As1 As 0.290 0.500 0.365
As2 As 0.465 0.000 0.482
As3 As 0.790 0.000 0.365
As4 As 0.965 0.500 0.482
Se1 Se 0.191 0.000 0.636
Se2 Se 0.691 0.500 0.636



Magnetization in μB/atom, matching the order above: 0.000, 0.000, 0.000, 0.587, 0.000, 0.000, 0.000, 0.000, 0.000, 0.000, 0.000, 0.000